Computed, not measured: a relaxed structure of CaAs2Pt at the PBE level of DFT.

Properties
E_form in eV/atom: -0.294
Total magnetization in μB/f.u.: 0.0
DFT total energy in eV/atom: -4.629

Cell lengths 3.6672, 3.6672, 6.1446 Å; angles 90.00, 90.00, 90.00 degrees
Closest atoms and distances in Å follow each position.
Sites, in units of the cell vectors:
Ca: 0.0000 0.0000 0.0000  2 Pt 3.07, 8 As 3.19
As: 0.5000 0.5000 0.3020  1 As 2.43
As: 0.5000 0.5000 0.6980  1 As 2.43
Pt: 0.0000 0.0000 0.5000  8 As 2.86, 2 Ca 3.07



Computed, not measured: a relaxed structure of Ca3AsPt at the PBE level of DFT.

Properties
E_form in eV/atom: -0.551
Total magnetization in μB/f.u.: 0.0
DFT total energy in eV/atom: -3.890

Cell lengths 5.4035, 5.4035, 5.4035 Å; angles 90.00, 90.00, 90.00 degrees
Closest atoms and distances in Å follow each position.
Sites, in units of the cell vectors:
Ca: 0.0000 0.0000 0.5000  2 Pt 2.70
Ca: 0.0000 0.5000 0.0000  2 Pt 2.70
Ca: 0.5000 0.0000 0.0000  2 Pt 2.70
As: 0.5000 0.5000 0.5000  12 Ca 3.82
Pt: 0.0000 0.0000 0.0000  6 Ca 2.70



Computed, not measured: a relaxed structure of CaAsPt2 at the PBE level of DFT.

Properties
E_form in eV/atom: -0.760
Total magnetization in μB/f.u.: 0.0
DFT total energy in eV/atom: -5.443

Cell lengths 5.4772, 5.4772, 7.1189 Å; angles 90.00, 90.00, 135.46 degrees
Closest atoms and distances in Å follow each position.
Sites, in units of the cell vectors:
Ca: 0.0530 0.9470 0.7500  3 As 2.90-3.00, 8 Pt 3.11-3.17
Ca: 0.9470 0.0530 0.2500  3 As 2.90-3.00, 8 Pt 3.11-3.17
As: 0.2335 0.7665 0.2500  6 Pt 2.51-2.69
As: 0.7665 0.2335 0.7500  6 Pt 2.51-2.69
Pt: 0.3612 0.6388 0.5519  3 As 2.51-2.69
Pt: 0.3612 0.6388 0.9481  3 As 2.51-2.69
Pt: 0.6388 0.3612 0.0519  3 As 2.51-2.69
Pt: 0.6388 0.3612 0.4481  3 As 2.51-2.69



Computed, not measured: a relaxed structure of CaAsPt at the PBE level of DFT.

Properties
E_form in eV/atom: -0.601
Total magnetization in μB/f.u.: 0.0
DFT total energy in eV/atom: -4.832

Cell lengths 5.6773, 5.6773, 5.6773 Å; angles 143.72, 143.72, 52.25 degrees
Closest atoms and distances in Å follow each position.
Sites, in units of the cell vectors:
Ca: 0.0000 0.0000 0.0000  1 As 2.94, 5 Pt 2.99-3.27
As: 0.7117 0.7117 0.0000  4 Pt 2.63, 1 Ca 2.94
Pt: 0.2934 0.2934 0.0000  4 As 2.63



Computed, not measured: a relaxed structure of CaAs2Pt at the PBE level of DFT.

Properties
E_form in eV/atom: -0.623
Total magnetization in μB/f.u.: 0.0
DFT total energy in eV/atom: -4.959

Cell lengths 6.1543, 6.1543, 6.1543 Å; angles 102.62, 102.62, 124.27 degrees
Closest atoms and distances in Å follow each position.
Sites, in units of the cell vectors:
Ca: 0.0000 0.0000 0.0000  2 Pt 2.88, 4 As 3.14
Ca: 0.7500 0.2500 0.5000  2 Pt 2.88, 4 As 3.14
As: 0.1832 0.6250 0.0582  2 Pt 2.53
As: 0.3750 0.4332 0.5582  2 Pt 2.53
As: 0.5668 0.1250 0.9418  2 Pt 2.53
As: 0.8750 0.8168 0.4418  2 Pt 2.53
Pt: 0.2500 0.7500 0.5000  4 As 2.53
Pt: 0.5000 0.5000 0.0000  4 As 2.53



Computed, not measured: a relaxed structure of Ca3As2Pt at the PBE level of DFT.

Properties
E_form in eV/atom: -1.090
Total magnetization in μB/f.u.: 0.0
DFT total energy in eV/atom: -4.647

Cell lengths 11.6826, 4.3615, 11.5745 Å; angles 90.00, 90.00, 90.00 degrees
Closest atoms and distances in Å follow each position.
Sites, in units of the cell vectors:
Ca: 0.0559 0.2500 0.1228  1 Pt 2.95, 5 As 3.06-3.19
Ca: 0.1197 0.7500 0.5516  3 Pt 3.04-3.06, 5 As 3.08-3.17
Ca: 0.2161 0.2500 0.8074  2 Pt 2.92, 4 As 3.00-3.16
Ca: 0.2839 0.7500 0.3074  2 Pt 2.92, 4 As 3.00-3.16
Ca: 0.3803 0.2500 0.0516  3 Pt 3.04-3.06, 5 As 3.08-3.17
Ca: 0.4441 0.7500 0.6228  1 Pt 2.95, 5 As 3.06-3.19
Ca: 0.5559 0.2500 0.3772  1 Pt 2.95, 5 As 3.06-3.19
Ca: 0.6197 0.7500 0.9484  3 Pt 3.04-3.06, 5 As 3.08-3.17
Ca: 0.7161 0.2500 0.6926  2 Pt 2.92, 4 As 3.00-3.16
Ca: 0.7839 0.7500 0.1926  2 Pt 2.92, 4 As 3.00-3.16
Ca: 0.8803 0.2500 0.4484  3 Pt 3.04-3.06, 5 As 3.08-3.17
Ca: 0.9441 0.7500 0.8772  1 Pt 2.95, 5 As 3.06-3.19
As: 0.0134 0.7500 0.3082  2 Pt 2.65
As: 0.1906 0.7500 0.9966  1 Pt 2.60
As: 0.3094 0.2500 0.4966  1 Pt 2.60
As: 0.4866 0.2500 0.8082  2 Pt 2.65
As: 0.5134 0.7500 0.1918  2 Pt 2.65
As: 0.6906 0.7500 0.5034  1 Pt 2.60
As: 0.8094 0.2500 0.0034  1 Pt 2.60
As: 0.9866 0.2500 0.6918  2 Pt 2.65
Pt: 0.1278 0.2500 0.3669  3 As 2.60-2.65
Pt: 0.3722 0.7500 0.8669  3 As 2.60-2.65
Pt: 0.6278 0.2500 0.1331  3 As 2.60-2.65
Pt: 0.8722 0.7500 0.6331  3 As 2.60-2.65



Computed, not measured: a relaxed structure of CaAs2Pt at the PBE level of DFT.

Properties
E_form in eV/atom: -0.348
Total magnetization in μB/f.u.: 0.0
DFT total energy in eV/atom: -4.684

Cell lengths 4.7869, 4.7869, 4.7869 Å; angles 60.00, 60.00, 60.00 degrees
Closest atoms and distances in Å follow each position.
Sites, in units of the cell vectors:
Ca: 0.0000 0.0000 0.0000  8 As 2.93
As: 0.2500 0.2500 0.2500  4 Pt 2.93, 4 Ca 2.93
As: 0.7500 0.7500 0.7500  4 Pt 2.93, 4 Ca 2.93
Pt: 0.5000 0.5000 0.5000  8 As 2.93



Computed, not measured: a relaxed structure of CaAsPt2 at the PBE level of DFT.

Properties
E_form in eV/atom: -0.585
Total magnetization in μB/f.u.: 0.0
DFT total energy in eV/atom: -5.268

Cell lengths 5.3243, 5.3243, 5.3243 Å; angles 140.47, 127.45, 67.70 degrees
Closest atoms and distances in Å follow each position.
Sites, in units of the cell vectors:
Ca: 0.0000 0.0000 0.0000  8 Pt 2.98-3.12, 4 As 2.99-3.11
As: 0.7299 0.2299 0.5000  2 Pt 2.51
Pt: 0.2876 0.7876 0.5000  2 Pt 2.81, 4 As 3.01, 4 Ca 3.01-3.12
Pt: 0.5316 0.5316 0.0000  2 As 2.51, 2 Pt 2.81



Computed, not measured: a relaxed structure of CaAsPt at the PBE level of DFT.

Properties
E_form in eV/atom: -0.092
Total magnetization in μB/f.u.: 0.0
DFT total energy in eV/atom: -4.323

Cell lengths 4.6500, 4.6500, 4.6500 Å; angles 60.00, 60.00, 60.00 degrees
Closest atoms and distances in Å follow each position.
Sites, in units of the cell vectors:
Ca: 0.0000 0.0000 0.0000  4 As 2.85, 4 Pt 2.85
As: 0.7500 0.7500 0.7500  4 Ca 2.85
Pt: 0.2500 0.2500 0.2500  4 Ca 2.85



Computed, not measured: a relaxed structure of Ca3As3Pt at the PBE level of DFT.

Properties
E_form in eV/atom: -0.802
Total magnetization in μB/f.u.: 0.0
DFT total energy in eV/atom: -4.515

Cell lengths 8.7066, 8.7066, 5.9162 Å; angles 90.00, 90.00, 120.00 degrees
Closest atoms and distances in Å follow each position.
Sites, in units of the cell vectors:
Ca: 0.0760 0.3794 0.2500  5 As 2.96-3.07
Ca: 0.3034 0.9240 0.2500  5 As 2.96-3.07
Ca: 0.3794 0.3034 0.7500  5 As 2.96-3.07
Ca: 0.6206 0.6966 0.2500  5 As 2.96-3.07
Ca: 0.6966 0.0760 0.7500  5 As 2.96-3.07
Ca: 0.9240 0.6206 0.7500  5 As 2.96-3.07
As: 0.0778 0.3711 0.7500  1 Pt 2.42
As: 0.2933 0.9222 0.7500  1 Pt 2.42
As: 0.3711 0.2933 0.2500  1 Pt 2.42
As: 0.6289 0.7067 0.7500  1 Pt 2.42
As: 0.7067 0.0778 0.2500  1 Pt 2.42
As: 0.9222 0.6289 0.2500  1 Pt 2.42
Pt: 0.3333 0.6667 0.7500  3 As 2.42
Pt: 0.6667 0.3333 0.2500  3 As 2.42



Computed, not measured: a relaxed structure of Ca2AsPt2 at the PBE level of DFT.

Properties
E_form in eV/atom: -0.762
Total magnetization in μB/f.u.: 0.0
DFT total energy in eV/atom: -4.909

Cell lengths 7.0770, 7.0770, 4.3059 Å; angles 90.00, 90.00, 90.00 degrees
Closest atoms and distances in Å follow each position.
Sites, in units of the cell vectors:
Ca: 0.1729 0.3271 0.0000  6 Pt 2.88-3.08
Ca: 0.3271 0.8271 0.0000  6 Pt 2.88-3.08
Ca: 0.6729 0.1729 0.0000  6 Pt 2.88-3.08
Ca: 0.8271 0.6729 0.0000  6 Pt 2.88-3.08
As: 0.0000 0.0000 0.5000  4 Pt 2.75
As: 0.5000 0.5000 0.5000  4 Pt 2.75
Pt: 0.1364 0.6364 0.5000  1 Pt 2.73, 2 As 2.75, 2 Ca 2.88
Pt: 0.3636 0.1364 0.5000  1 Pt 2.73, 2 As 2.75, 2 Ca 2.88
Pt: 0.6364 0.8636 0.5000  1 Pt 2.73, 2 As 2.75, 2 Ca 2.88
Pt: 0.8636 0.3636 0.5000  1 Pt 2.73, 2 As 2.75, 2 Ca 2.88



Computed, not measured: a relaxed structure of CaAs2Pt3 at the PBE level of DFT.

Properties
E_form in eV/atom: -0.643
Total magnetization in μB/f.u.: 0.0
DFT total energy in eV/atom: -5.547

Cell lengths 4.3589, 8.2918, 10.0244 Å; angles 104.29, 93.84, 101.90 degrees
Closest atoms and distances in Å follow each position.
Sites, in units of the cell vectors:
Ca: 0.0000 0.0000 0.0000  4 As 3.05-3.08, 4 Pt 3.10-3.23
Ca: 0.1814 0.3338 0.7100  5 Pt 2.98-3.23, 3 As 3.00-3.19
Ca: 0.8186 0.6662 0.2900  5 Pt 2.98-3.23, 3 As 3.00-3.19
As: 0.2308 0.3854 0.1258  5 Pt 2.45-2.63
As: 0.2801 0.7041 0.5381  6 Pt 2.48-2.76
As: 0.4432 0.9343 0.2224  5 Pt 2.45-2.73
As: 0.5568 0.0657 0.7776  5 Pt 2.45-2.73
As: 0.7199 0.2959 0.4619  6 Pt 2.48-2.76
As: 0.7692 0.6146 0.8742  5 Pt 2.45-2.63
Pt: 0.0037 0.0424 0.3290  3 As 2.47-2.76
Pt: 0.2556 0.6512 0.0575  3 As 2.45-2.63
Pt: 0.2728 0.4064 0.3836  4 As 2.48-2.64
Pt: 0.3086 0.7458 0.8036  4 As 2.59-2.73, 1 Pt 2.85
Pt: 0.5000 0.0000 0.5000  4 As 2.57-2.68, 2 Pt 2.80
Pt: 0.6914 0.2542 0.1964  4 As 2.59-2.73, 1 Pt 2.85
Pt: 0.7272 0.5936 0.6164  4 As 2.48-2.64
Pt: 0.7444 0.3488 0.9425  3 As 2.45-2.63
Pt: 0.9963 0.9576 0.6710  3 As 2.47-2.76



> Which value of total magnetization does entry 9 give?

0.0 μB/f.u.



> The highest DFT total energy belongs to which entry?

Ca3AsPt